## BaNa2AuF (PBE)

Data for crystalline BaNa2AuF at its relaxed geometry.

## Properties
- crystal system = tetragonal
- energy relative to the elements, uncorrected (kcal/mol of atoms) = -29.1
- E_tot (eV per atom) = -3.20
- N(E_F) (states/eV per cell) = 3.4
- calculated volume (Å³/cell) = 127.0

POSCAR file:
```
BaNa2AuF
1.0
4.7223 0.0000 0.0000
0.0000 4.7223 0.0000
0.0000 0.0000 5.6936
Ba Na Au F
1 2 1 1
Cartesian
0.0000 0.0000 0.0000
0.0000 2.3612 2.8468
2.3612 0.0000 2.8468
2.3612 2.3612 0.0000
0.0000 0.0000 2.8468
```

---

## BaNa4Au3F12 (PBE)

Data for crystalline BaNa4Au3F12 at its relaxed geometry.

## Properties
- crystal system = cubic
- energy relative to the elements, uncorrected (kcal/mol of atoms) = -48.3
- E_tot (eV per atom) = -4.07
- calculated volume (Å³/cell) = 304.4

POSCAR file:
```
BaNa4Au3F12
1.0
-4.2379 4.2379 4.2379
4.2379 -4.2379 4.2379
4.2379 4.2379 -4.2379
Ba Na Au F
1 4 3 12
Cartesian
0.0000 0.0000 0.0000
2.1190 2.1190 -2.1190
2.1190 -2.1190 2.1190
-2.1190 2.1190 2.1190
2.1190 2.1190 2.1190
4.2379 0.0000 0.0000
0.0000 4.2379 0.0000
0.0000 0.0000 4.2379
4.2379 2.8852 -1.6683
2.5696 0.0000 1.3528
5.9062 0.0000 1.3528
1.3528 2.5696 0.0000
2.8852 -1.6683 4.2379
0.0000 1.3528 2.5696
4.2379 2.8852 1.6683
1.3528 5.9062 0.0000
2.8852 1.6683 4.2379
-1.6683 4.2379 2.8852
1.6683 4.2379 2.8852
0.0000 1.3528 5.9062
```

---

## BaAuOF2 (PBE)

Data for crystalline BaAuOF2 at its relaxed geometry.

## Properties
- crystal system = tetragonal
- energy relative to the elements, uncorrected (kcal/mol of atoms) = -40.7
- E above lowest polymorph (meV per atom) = 0
- E_tot (eV per atom) = -4.55
- N(E_F) (states/eV per cell) = 1.3
- calculated volume (Å³/cell) = 88.9

POSCAR file:
```
BaAuOF2
1.0
4.6170 0.0000 0.0000
0.0000 4.6170 0.0000
0.0000 0.0000 4.1726
Ba Au O F
1 1 1 2
Cartesian
0.0000 0.0000 0.0000
2.3085 2.3085 2.0863
2.3085 2.3085 0.0000
0.0000 2.3085 2.0863
2.3085 0.0000 2.0863
```

---

M_tot
In order: 0.00; 3.00; 0.00
Unit: μB per cell